No. 1
DFT (GGA-PBE) results for a relaxed structure of CaFeIr.

Lattice parameters (Å, degrees): 6.1631 6.1631 6.1631 90.00 90.00 90.00
Last column: nearest neighbours and their distance in Å.
Space group F-43m (No. 216)
One atom of each set of equivalent atoms:
1 Ca 0.0000 0.0000 0.0000  4 Fe 2.67
2 Fe 0.2500 0.2500 0.2500  4 Ca 2.67, 4 Ir 2.67
3 Ir 0.0000 0.0000 0.5000  4 Fe 2.67

Output
calculated total energy	-72.58	eV per cell
magnetic moment	13.424	μB/cell
V	234.1	Å³ per cell
DOS(E_F)	3.64	states/eV/f.u.
energy of formation	114	kJ/mol of formula units

***

No. 2
DFT (GGA-PBE) results for a relaxed structure of CaFe2Ir2.

Lattice parameters (Å, degrees): 7.3819 7.3819 2.6939 90.00 90.00 90.00
Last column: nearest neighbours and their distance in Å.
Space group P4/mbm (No. 127)
One atom of each set of equivalent atoms:
1 Ca 0.0000 0.0000 0.0000  2 Ca 2.69, 4 Fe 2.97
2 Fe 0.1146 0.3854 0.0000  1 Fe 2.39, 6 Ir 2.55-2.59
3 Ir 0.1782 0.6782 0.5000  6 Fe 2.55-2.59, 2 Ir 2.69

Output
calculated total energy	-72.79	eV per cell
energy above the most stable polymorph in this dataset	13	meV/atom
magnetic moment	0.000	μB/cell
V	146.8	Å³ per cell
DOS(E_F)	7.31	states/eV/f.u.
energy of formation	25	kJ/mol of formula units

***

No. 3
DFT (GGA-PBE) results for a relaxed structure of CaFeIr.

Lattice parameters (Å, degrees): 5.1420 5.5178 7.3141 90.00 90.00 90.00
Last column: nearest neighbours and their distance in Å.
Space group Imma (No. 74)
One atom of each set of equivalent atoms:
1 Ca 0.0000 0.2500 0.1269  6 Fe 3.04-3.17, 6 Ir 3.06, 4 Ca 3.14-3.33
2 Fe 0.2500 0.2500 0.7500  2 Fe 2.57, 4 Ir 2.63
3 Ir 0.0000 0.0000 0.5000  4 Fe 2.63, 2 Ir 2.76

Output
calculated total energy	-79.88	eV per cell
magnetic moment	9.924	μB/cell
V	207.5	Å³ per cell
DOS(E_F)	2.76	states/eV/f.u.
energy of formation	-62	kJ/mol of formula units